Density functional theory data (PBE) for CdSbAu2O6 after structural relaxation.

Summary:
Formation energy from raw total energies ... -0.5450 eV/atom

```
data_CdSbAu2O6
_space_group_name_H-M_alt 'C 1 2/c 1'
_space_group_IT_number 15
_space_group_name_Hall '-C 2yc'
_cell_length_a 10.565
_cell_length_b 8.538
_cell_length_c 6.134
_cell_angle_alpha 90.00
_cell_angle_beta 102.19
_cell_angle_gamma 90.00
loop_
_atom_site_label
_atom_site_type_symbol
_atom_site_fract_x
_atom_site_fract_y
_atom_site_fract_z
_atom_site_occupancy
Cd1 Cd 0.000 0.110 0.250 1
Sb1 Sb 0.000 0.295 0.750 1
Au1 Au 0.239 0.411 0.204 1
O1 O 0.112 0.139 0.959 1
O2 O 0.114 0.480 0.899 1
O3 O 0.126 0.220 0.557 1
```